Compound: TlReTe
Source: Alexandria via LeMat-Bulk
Functional: meta-GGA SCAN
Structure: PBEsol geometry

Output
Energy above the lowest structure with this stoichiometry: 57 meV per atom

```
data_TlReTe
_chemical_formula_sum 'Tl1 Re1 Te1'
_space_group_name_H-M_alt 'P 1'
_space_group_IT_number 1
_space_group_name_Hall 'P 1'
_cell_length_a 3.3477
_cell_length_b 3.3477
_cell_length_c 6.7247
_cell_angle_alpha 90.00
_cell_angle_beta 90.00
_cell_angle_gamma 120.00
loop_
_atom_site_label
_atom_site_type_symbol
_atom_site_fract_x
_atom_site_fract_y
_atom_site_fract_z
Tl1 Tl 0.0000 0.0000 0.0000
Re1 Re 0.3333 0.6667 0.6763
Te1 Te 0.6667 0.3333 0.4143
```

***

Compound: TlReTe
Source: Alexandria via LeMat-Bulk
Functional: meta-GGA SCAN
Structure: PBEsol geometry

Output
Energy above the lowest structure with this stoichiometry: 506 meV per atom

```
data_TlReTe
_chemical_formula_sum 'Tl1 Re1 Te1'
_space_group_name_H-M_alt 'P 1'
_space_group_IT_number 1
_space_group_name_Hall 'P 1'
_cell_length_a 4.6104
_cell_length_b 4.6104
_cell_length_c 3.4586
_cell_angle_alpha 90.00
_cell_angle_beta 90.00
_cell_angle_gamma 120.00
loop_
_atom_site_label
_atom_site_type_symbol
_atom_site_fract_x
_atom_site_fract_y
_atom_site_fract_z
Tl1 Tl 0.0000 0.0000 0.0000
Re1 Re 0.3333 0.6667 0.5000
Te1 Te 0.6667 0.3333 0.5000
```

***

Compound: TlReTe2
Source: Alexandria via LeMat-Bulk
Functional: meta-GGA SCAN
Structure: PBEsol geometry

Output
Energy above the lowest structure with this stoichiometry: 91 meV per atom

```
data_TlReTe2
_chemical_formula_sum 'Tl1 Re1 Te2'
_space_group_name_H-M_alt 'P 1'
_space_group_IT_number 1
_space_group_name_Hall 'P 1'
_cell_length_a 3.2361
_cell_length_b 3.2361
_cell_length_c 9.0112
_cell_angle_alpha 90.00
_cell_angle_beta 90.00
_cell_angle_gamma 90.00
loop_
_atom_site_label
_atom_site_type_symbol
_atom_site_fract_x
_atom_site_fract_y
_atom_site_fract_z
Tl1 Tl 0.0000 0.0000 0.0000
Re1 Re 0.0000 0.0000 0.5000
Te1 Te 0.5000 0.5000 0.3160
Te2 Te 0.5000 0.5000 0.6840
```

***

Compound: Re4TeW
Source: Alexandria via LeMat-Bulk
Functional: meta-GGA SCAN
Structure: PBEsol geometry

```
data_Re4TeW
_chemical_formula_sum 'Re4 Te1 W1'
_space_group_name_H-M_alt 'P 1'
_space_group_IT_number 1
_space_group_name_Hall 'P 1'
_cell_length_a 5.1992
_cell_length_b 5.1992
_cell_length_c 5.1992
_cell_angle_alpha 60.00
_cell_angle_beta 60.00
_cell_angle_gamma 60.00
loop_
_atom_site_label
_atom_site_type_symbol
_atom_site_fract_x
_atom_site_fract_y
_atom_site_fract_z
Re1 Re 0.1252 0.1252 0.1252
Re2 Re 0.1252 0.1252 0.6246
Re3 Re 0.1252 0.6246 0.1252
Re4 Re 0.6246 0.1252 0.1252
Te1 Te 0.5000 0.5000 0.5000
W1 W 0.7500 0.7500 0.7500
```

***

Compound: ReTe2W
Source: Alexandria via LeMat-Bulk
Functional: meta-GGA SCAN
Structure: PBEsol geometry

Output
Energy above the lowest structure with this stoichiometry: 972 meV per atom

```
data_ReTe2W
_chemical_formula_sum 'Re1 Te2 W1'
_space_group_name_H-M_alt 'P 1'
_space_group_IT_number 1
_space_group_name_Hall 'P 1'
_cell_length_a 3.1372
_cell_length_b 3.1372
_cell_length_c 8.7852
_cell_angle_alpha 90.00
_cell_angle_beta 90.00
_cell_angle_gamma 118.12
loop_
_atom_site_label
_atom_site_type_symbol
_atom_site_fract_x
_atom_site_fract_y
_atom_site_fract_z
Re1 Re 0.0000 0.0000 0.0000
Te1 Te 0.5000 0.5000 0.2469
Te2 Te 0.5000 0.5000 0.7531
W1 W 0.0000 0.0000 0.5000
```

***

Compound: ReTe2W
Source: Alexandria via LeMat-Bulk
Functional: meta-GGA SCAN
Structure: PBEsol geometry

Output
Energy above the lowest structure with this stoichiometry: 0 meV per atom

```
data_ReTe2W
_chemical_formula_sum 'Re1 Te2 W1'
_space_group_name_H-M_alt 'P 1'
_space_group_IT_number 1
_space_group_name_Hall 'P 1'
_cell_length_a 9.9341
_cell_length_b 9.9341
_cell_length_c 9.9341
_cell_angle_alpha 18.55
_cell_angle_beta 18.55
_cell_angle_gamma 18.55
loop_
_atom_site_label
_atom_site_type_symbol
_atom_site_fract_x
_atom_site_fract_y
_atom_site_fract_z
Re1 Re 0.0000 0.0000 0.0000
Te1 Te 0.2602 0.2602 0.2602
Te2 Te 0.4676 0.4676 0.4676
W1 W 0.7283 0.7283 0.7283
```

***

Compound: Y2ReTe
Source: Alexandria via LeMat-Bulk
Functional: meta-GGA SCAN
Structure: PBEsol geometry

```
data_Y2ReTe
_chemical_formula_sum 'Y2 Re1 Te1'
_space_group_name_H-M_alt 'P 1'
_space_group_IT_number 1
_space_group_name_Hall 'P 1'
_cell_length_a 9.8031
_cell_length_b 9.8031
_cell_length_c 9.8031
_cell_angle_alpha 19.99
_cell_angle_beta 19.99
_cell_angle_gamma 19.99
loop_
_atom_site_label
_atom_site_type_symbol
_atom_site_fract_x
_atom_site_fract_y
_atom_site_fract_z
Y1 Y 0.0000 0.0000 0.0000
Y2 Y 0.2297 0.2297 0.2297
Re1 Re 0.4857 0.4857 0.4857
Te1 Te 0.7561 0.7561 0.7561
```

***

Compound: YReTe2
Source: Alexandria via LeMat-Bulk
Functional: meta-GGA SCAN
Structure: PBEsol geometry

```
data_YReTe2
_chemical_formula_sum 'Y1 Re1 Te2'
_space_group_name_H-M_alt 'P 1'
_space_group_IT_number 1
_space_group_name_Hall 'P 1'
_cell_length_a 6.9334
_cell_length_b 6.9334
_cell_length_c 6.9334
_cell_angle_alpha 150.68
_cell_angle_beta 139.98
_cell_angle_gamma 50.38
loop_
_atom_site_label
_atom_site_type_symbol
_atom_site_fract_x
_atom_site_fract_y
_atom_site_fract_z
Y1 Y 0.0000 0.0000 0.0000
Re1 Re 0.5000 0.5000 0.0000
Te1 Te 0.3356 0.8356 0.5000
Te2 Te 0.6644 0.1644 0.5000
```

***

Compound: ZnRe2Te
Source: Alexandria via LeMat-Bulk
Functional: meta-GGA SCAN
Structure: PBEsol geometry

Output
Energy above the lowest structure with this stoichiometry: 0 meV per atom

```
data_ZnRe2Te
_chemical_formula_sum 'Zn1 Re2 Te1'
_space_group_name_H-M_alt 'P 1'
_space_group_IT_number 1
_space_group_name_Hall 'P 1'
_cell_length_a 2.9771
_cell_length_b 2.9771
_cell_length_c 8.1993
_cell_angle_alpha 90.00
_cell_angle_beta 90.00
_cell_angle_gamma 90.00
loop_
_atom_site_label
_atom_site_type_symbol
_atom_site_fract_x
_atom_site_fract_y
_atom_site_fract_z
Zn1 Zn 0.0000 0.0000 0.0000
Re1 Re 0.0000 0.0000 0.3916
Re2 Re 0.5000 0.5000 0.1992
Te1 Te 0.5000 0.5000 0.6306
```

***

Compound: ZnReTe2
Source: Alexandria via LeMat-Bulk
Functional: meta-GGA SCAN
Structure: PBEsol geometry

```
data_ZnReTe2
_chemical_formula_sum 'Zn1 Re1 Te2'
_space_group_name_H-M_alt 'P 1'
_space_group_IT_number 1
_space_group_name_Hall 'P 1'
_cell_length_a 9.2081
_cell_length_b 9.2081
_cell_length_c 9.2081
_cell_angle_alpha 20.80
_cell_angle_beta 20.80
_cell_angle_gamma 20.80
loop_
_atom_site_label
_atom_site_type_symbol
_atom_site_fract_x
_atom_site_fract_y
_atom_site_fract_z
Zn1 Zn 0.0000 0.0000 0.0000
Re1 Re 0.5000 0.5000 0.5000
Te1 Te 0.2379 0.2379 0.2379
Te2 Te 0.7621 0.7621 0.7621
```

***

Compound: Zn2ReTe
Source: Alexandria via LeMat-Bulk
Functional: meta-GGA SCAN
Structure: PBEsol geometry

```
data_Zn2ReTe
_chemical_formula_sum 'Zn2 Re1 Te1'
_space_group_name_H-M_alt 'P 1'
_space_group_IT_number 1
_space_group_name_Hall 'P 1'
_cell_length_a 8.5476
_cell_length_b 8.5476
_cell_length_c 8.5476
_cell_angle_alpha 21.14
_cell_angle_beta 21.14
_cell_angle_gamma 21.14
loop_
_atom_site_label
_atom_site_type_symbol
_atom_site_fract_x
_atom_site_fract_y
_atom_site_fract_z
Zn1 Zn 0.0000 0.0000 0.0000
Zn2 Zn 0.2578 0.2578 0.2578
Re1 Re 0.5123 0.5123 0.5123
Te1 Te 0.7694 0.7694 0.7694
```

***

Compound: ZnRe2Te
Source: Alexandria via LeMat-Bulk
Functional: meta-GGA SCAN
Structure: PBEsol geometry

Output
Energy above the lowest structure with this stoichiometry: 322 meV per atom

```
data_ZnRe2Te
_chemical_formula_sum 'Zn1 Re2 Te1'
_space_group_name_H-M_alt 'P 1'
_space_group_IT_number 1
_space_group_name_Hall 'P 1'
_cell_length_a 6.0766
_cell_length_b 6.0766
_cell_length_c 6.0766
_cell_angle_alpha 151.55
_cell_angle_beta 139.41
_cell_angle_gamma 50.31
loop_
_atom_site_label
_atom_site_type_symbol
_atom_site_fract_x
_atom_site_fract_y
_atom_site_fract_z
Zn1 Zn 0.0000 0.0000 0.0000
Re1 Re 0.3351 0.8351 0.5000
Re2 Re 0.5279 0.5279 0.0000
Te1 Te 0.7386 0.2386 0.5000
```

***

Compound: ZnRe2Te
Source: Alexandria via LeMat-Bulk
Functional: meta-GGA SCAN
Structure: PBEsol geometry

Output
Energy above the lowest structure with this stoichiometry: 394 meV per atom

```
data_ZnRe2Te
_chemical_formula_sum 'Zn1 Re2 Te1'
_space_group_name_H-M_alt 'P 1'
_space_group_IT_number 1
_space_group_name_Hall 'P 1'
_cell_length_a 3.1859
_cell_length_b 3.1859
_cell_length_c 6.1244
_cell_angle_alpha 90.00
_cell_angle_beta 90.00
_cell_angle_gamma 90.00
loop_
_atom_site_label
_atom_site_type_symbol
_atom_site_fract_x
_atom_site_fract_y
_atom_site_fract_z
Zn1 Zn 0.0000 0.0000 0.0000
Re1 Re 0.5000 0.5000 0.2250
Re2 Re 0.5000 0.5000 0.7750
Te1 Te 0.0000 0.0000 0.5000
```

***

Compound: Zn2ReTe
Source: Alexandria via LeMat-Bulk
Functional: meta-GGA SCAN
Structure: PBEsol geometry

```
data_Zn2ReTe
_chemical_formula_sum 'Zn2 Re1 Te1'
_space_group_name_H-M_alt 'P 1'
_space_group_IT_number 1
_space_group_name_Hall 'P 1'
_cell_length_a 3.1166
_cell_length_b 3.1166
_cell_length_c 7.5818
_cell_angle_alpha 90.00
_cell_angle_beta 90.00
_cell_angle_gamma 90.00
loop_
_atom_site_label
_atom_site_type_symbol
_atom_site_fract_x
_atom_site_fract_y
_atom_site_fract_z
Zn1 Zn 0.0000 0.0000 0.0000
Zn2 Zn 0.5000 0.5000 0.1889
Re1 Re 0.0000 0.0000 0.4018
Te1 Te 0.5000 0.5000 0.6067
```

***

Compound: Zn2ReTe
Source: Alexandria via LeMat-Bulk
Functional: meta-GGA SCAN
Structure: PBEsol geometry

```
data_Zn2ReTe
_chemical_formula_sum 'Zn2 Re1 Te1'
_space_group_name_H-M_alt 'P 1'
_space_group_IT_number 1
_space_group_name_Hall 'P 1'
_cell_length_a 3.3588
_cell_length_b 3.3588
_cell_length_c 5.8393
_cell_angle_alpha 90.00
_cell_angle_beta 90.00
_cell_angle_gamma 90.00
loop_
_atom_site_label
_atom_site_type_symbol
_atom_site_fract_x
_atom_site_fract_y
_atom_site_fract_z
Zn1 Zn 0.0000 0.0000 0.0000
Zn2 Zn 0.5000 0.5000 0.2120
Re1 Re 0.0000 0.0000 0.4442
Te1 Te 0.5000 0.5000 0.6973
```

***

Compound: ZnRe2Te
Source: Alexandria via LeMat-Bulk
Functional: meta-GGA SCAN
Structure: PBEsol geometry

Output
Energy above the lowest structure with this stoichiometry: 348 meV per atom

```
data_ZnRe2Te
_chemical_formula_sum 'Zn1 Re2 Te1'
_space_group_name_H-M_alt 'P 1'
_space_group_IT_number 1
_space_group_name_Hall 'P 1'
_cell_length_a 2.8402
_cell_length_b 2.8402
_cell_length_c 9.8510
_cell_angle_alpha 90.00
_cell_angle_beta 90.00
_cell_angle_gamma 117.25
loop_
_atom_site_label
_atom_site_type_symbol
_atom_site_fract_x
_atom_site_fract_y
_atom_site_fract_z
Zn1 Zn 0.0000 0.0000 0.0000
Re1 Re 0.0000 0.0000 0.4354
Re2 Re 0.5000 0.5000 0.2247
Te1 Te 0.5000 0.5000 0.6954
```

***

Results for ΔE_f (raw): 0.634; 1.082; 0.336; 0.833; 1.430; 0.458; 0.302; -0.270; 0.343; 0.478; 0.452; 0.665; 0.736; 0.433; 0.477; 0.691 (in eV per atom, following the order of the records).
Results for total DFT energy (no corrections): -59.60; -59.15; -54.15; -64.39; -52.39; -53.36; -40.71; -43.63; -47.90; -39.30; -33.39; -47.58; -47.50; -33.41; -33.37; -47.55 (in eV per atom, following the order of the records).
Results for total magnetic moment: 0.00; 0.00; 0.00; 0.00; 0.00; 0.00; 0.67; 0.00; 0.00; 0.00; 0.00; 0.00; 0.00; 0.00; 0.00; 0.00 (in μB/cell, following the order of the records).